Entry 1:
YMg2TlO after structural relaxation. Source: Alexandria via LeMat-Bulk, functional GGA-PBE.

Calculated values
* total moment: 0.00 μB/atom
* space-group type: P4/mmm
* final energy: -4.52 eV/atom

abc: 4.4920 4.4920 4.6762
angles: 90.00 90.00 90.00
Positions (direct):
Y (0.0000, 0.0000, 0.0000)
Mg (0.0000, 0.5000, 0.5000)
Mg (0.5000, 0.0000, 0.5000)
Tl (0.5000, 0.5000, 0.0000)
O (0.0000, 0.0000, 0.5000)



Entry 2:
YMgTlO2 after structural relaxation. Source: Alexandria via LeMat-Bulk, functional GGA-PBE.

Calculated values
* total moment: 0.00 μB/atom
* space-group type: P4/mmm
* final energy: -3.76 eV/atom

abc: 4.5020 4.5020 5.8523
angles: 90.00 90.00 90.00
Positions (direct):
Y (0.0000, 0.0000, 0.0000)
Mg (0.5000, 0.5000, 0.0000)
Tl (0.0000, 0.0000, 0.5000)
O (0.0000, 0.5000, 0.5000)
O (0.5000, 0.0000, 0.5000)



Entry 3:
MgTl2ZnO5 after structural relaxation. Source: Alexandria via LeMat-Bulk, functional GGA-PBE.

Calculated values
* total moment: 0.00 μB/atom
* space-group type: Cmc2_1
* final energy: -4.75 eV/atom

abc: 6.4855 6.4855 11.4275
angles: 90.00 90.00 149.76
Positions (direct):
Mg (0.2384, 0.7616, 0.5000)
Mg (0.7616, 0.2384, 0.0000)
Tl (0.0731, 0.9269, 0.1517)
Tl (0.1637, 0.8363, 0.7607)
Tl (0.8363, 0.1637, 0.2607)
Tl (0.9269, 0.0731, 0.6517)
Zn (0.4546, 0.5454, 0.9449)
Zn (0.5454, 0.4546, 0.4449)
O (0.0810, 0.9190, 0.5352)
O (0.2539, 0.7461, 0.1614)
O (0.2775, 0.7225, 0.9019)
O (0.3957, 0.6043, 0.5286)
O (0.4844, 0.5156, 0.2785)
O (0.5156, 0.4844, 0.7785)
O (0.6043, 0.3957, 0.0286)
O (0.7225, 0.2775, 0.4019)
O (0.7461, 0.2539, 0.6614)
O (0.9190, 0.0810, 0.0352)